First-principles (PBE) data for an optimized crystal structure of Ba6Ag2SI3, as listed in the Alexandria database.

Output
Formation energy (no corrections) (eV per atom): -1.073
E (eV/atom): -3.24
Crystal system: monoclinic
ρ (g cm⁻³): 4.7
Symmetry: C2/m (12)

a b c (Å): 8.2693 8.2693 9.0757
angles (deg): 98.73 98.73 119.99
Element x y z (fractional)
Ba 0.2489 0.2489 0.7872
Ba 0.6104 0.9301 0.7900
Ag 0.6661 0.3339 0.0000
S 0.0000 0.0000 0.0000
Ba 0.9301 0.6104 0.7900
I 0.8322 0.1678 0.5000
Ag 0.3339 0.6661 0.0000
Ba 0.0699 0.3896 0.2100
Ba 0.7511 0.7511 0.2128
I 0.5000 0.5000 0.5000
Ba 0.3896 0.0699 0.2100
I 0.1678 0.8322 0.5000